Entry 1:
A plane-wave DFT calculation with GGA-PBE was carried out for an optimized crystal structure of AlCrSi2.

POSCAR file:
```
AlCrSi2
1.0
4.696 -0.063 -0.049
3.905 2.609 -0.049
0.427 0.126 4.300
Cr Al Si
1 1 2
direct
0.253 0.253 0.237 Cr
0.507 0.507 0.504 Al
0.985 0.985 0.020 Si
0.755 0.755 0.739 Si
```

Computed properties:
SG   No. 8
Density   4.17 g/cm³
Uncorrected energy   -6.01 eV/atom

Entry 2:
A plane-wave DFT calculation with GGA-PBE was carried out for an optimized crystal structure of Al2CrSi.

POSCAR file:
```
Al2CrSi
1.0
4.761 -0.003 -0.001
1.832 4.395 0.001
-2.991 -2.655 2.584
Si Al Cr
1 2 1
direct
0.260 0.760 0.500 Si
0.745 0.245 0.500 Al
0.005 0.005 0.000 Al
0.490 0.490 0.000 Cr
```

Computed properties:
SG   No. 44
Density   4.12 g/cm³
Uncorrected energy   -5.67 eV/atom